{
  "formula": "PuTl2Fe2O6",
  "functional": "PBE+U",
  "state": "relaxed",
  "final_energy_ev_per_cell": -77.3,
  "magmom_total_mub_per_cell": 10.0,
  "dos_ef_per_ev_atom": 0.58,
  "lattice_angstrom": [[2.8495, -4.7352, 0.0000], [2.8495, 4.7352, 0.0000], [-2.1596, 0.0000, 6.5999]],
  "species": ["Pu", "Tl", "Tl", "Fe", "Fe", "O", "O", "O", "O", "O", "O"],
  "frac_coords": [[0.0000, 0.0000, 0.0000], [0.1745, 0.8255, 0.5000], [0.8255, 0.1745, 0.5000], [0.3391, 0.6609, 0.0000], [0.6609, 0.3391, 0.0000], [0.0504, 0.3764, 0.1655], [0.2581, 0.2581, 0.8312], [0.3764, 0.0504, 0.1655], [0.6236, 0.9496, 0.8345], [0.7419, 0.7419, 0.1688], [0.9496, 0.6236, 0.8345]]
}